No. 1
The following is a PBE-GGA calculation of a relaxed structure of TmPd7Au4, from Alexandria via LeMat-Bulk.

Values from the calculation:
The symmetry is No. 2. As for the formation energy: -0.36 eV/atom.

a b c (Å): 5.781 7.632 7.634
angles (deg): 68.38 78.01 40.56
Fractional positions:
1 Tm 0.000 0.000 0.000
2 Pd 0.752 0.501 0.999
3 Pd 0.248 0.499 0.001
4 Pd 0.999 0.331 0.670
5 Pd 0.001 0.669 0.330
6 Pd 0.252 0.829 0.670
7 Pd 0.500 0.000 0.000
8 Pd 0.748 0.171 0.330
9 Au 0.508 0.663 0.335
10 Au 0.492 0.337 0.665
11 Au 0.745 0.834 0.670
12 Au 0.255 0.166 0.330



No. 2
The following is a PBE-GGA calculation of a relaxed structure of CoCu2Te, from Alexandria via LeMat-Bulk.

Values from the calculation:
The symmetry is No. 160. The uncorrected formation energy is 0.300 eV/atom.

a b c (Å): 4.768 4.768 4.768
angles (deg): 51.47 51.47 51.47
Each line ends with the local moment (μB).
Fractional positions:
1 Co 0.714 0.714 0.714  0.91
2 Cu 0.006 0.006 0.006  0.03
3 Cu 0.281 0.281 0.281  -0.01
4 Te 0.499 0.499 0.499  0.00



No. 3
The following is a PBE-GGA calculation of a relaxed structure of LiCe2Ir2, from Alexandria via LeMat-Bulk.

Values from the calculation:
The symmetry is No. 71. As for the formation energy: -0.61 eV/atom.

a b c (Å): 4.473 5.337 5.338
angles (deg): 65.85 65.23 65.23
Fractional positions:
1 Li 0.500 0.500 0.000
2 Ce 0.687 0.813 0.313
3 Ce 0.313 0.187 0.687
4 Ir 0.000 0.250 0.250
5 Ir 0.000 0.750 0.750



no.,DFT total energy (eV/atom)
1,-4.85
2,-4.31
3,-6.91